(1)
Compound: Nb2Pt2Au
Source: Alexandria
Functional: meta-GGA SCAN
Structure: single point on PBEsol structure

Calculated values
N(E_F) = 2.4 states/eV/f.u.
total energy = -55.7320 eV per atom
calculated volume = 169.6 Å³/cell
spin magnetization = 0.0000 μB per atom

abc: 7.7731 7.7731 2.8070
angles: 90.00 90.00 90.00
With the nearest neighbours (Å) after each atom.
Space group P4/mbm (No. 127)
Asymmetric unit:
Nb 0.1714 0.3286 0.0000 (multiplicity 4)  6 Pt 2.65-2.72, 2 Nb 2.81
Pt 0.1245 0.6245 0.5000 (multiplicity 4)  6 Nb 2.65-2.72, 3 Pt 2.74-2.81
Au 0.0000 0.0000 0.5000 (multiplicity 2)  2 Au 2.81, 4 Pt 3.07

---

(2)
Compound: Nb2Rh2Au
Source: Alexandria
Functional: meta-GGA SCAN
Structure: single point on PBEsol structure

Calculated values
N(E_F) = 3.5 states/eV/f.u.
total energy = -40.9807 eV per atom
calculated volume = 162.2 Å³/cell
spin magnetization = 0.0000 μB per atom

abc: 7.4198 7.4198 2.9459
angles: 90.00 90.00 90.00
With the nearest neighbours (Å) after each atom.
Space group P4/mbm (No. 127)
Asymmetric unit:
Nb 0.1696 0.3304 0.0000 (multiplicity 4)  6 Rh 2.57-2.68
Rh 0.1294 0.6294 0.5000 (multiplicity 4)  6 Nb 2.57-2.68, 1 Rh 2.72
Au 0.0000 0.0000 0.5000 (multiplicity 2)  4 Rh 2.91, 2 Au 2.95, 8 Nb 3.12

---

(3)
Compound: Nb2Ru2Au
Source: Alexandria
Functional: meta-GGA SCAN
Structure: single point on PBEsol structure

Calculated values
N(E_F) = 2.4 states/eV/f.u.
total energy = -41.2244 eV per atom
calculated volume = 162.3 Å³/cell
spin magnetization = 0.0000 μB per atom

abc: 7.3151 7.3151 3.0333
angles: 90.00 90.00 90.00
With the nearest neighbours (Å) after each atom.
Space group P4/mbm (No. 127)
Asymmetric unit:
Nb 0.1622 0.3378 0.0000 (multiplicity 4)  6 Ru 2.57-2.67
Ru 0.1373 0.6373 0.5000 (multiplicity 4)  6 Nb 2.57-2.67, 2 Au 2.84, 1 Ru 2.84
Au 0.0000 0.0000 0.5000 (multiplicity 2)  4 Ru 2.84, 2 Au 3.03, 8 Nb 3.13

---

(4)
Compound: Sr2NbRuAu
Source: Alexandria
Functional: meta-GGA SCAN
Structure: single point on PBEsol structure

Calculated values
N(E_F) = 4.3 states/eV/f.u.
total energy = -34.9030 eV per atom
calculated volume = 153.7 Å³/cell
spin magnetization = 0.5267 μB per atom

abc: 5.6031 5.6031 4.8962
angles: 90.00 90.00 90.00
With the nearest neighbours (Å) after each atom.
Space group P4/mmm (No. 123)
Asymmetric unit:
Sr 0.0000 0.5000 0.0000 (multiplicity 2)  2 Nb 2.80
Nb 0.0000 0.0000 0.0000 (multiplicity 1)  2 Au 2.45
Ru 0.5000 0.5000 0.5000 (multiplicity 1)  8 Sr 3.72, 4 Au 3.96
Au 0.0000 0.0000 0.5000 (multiplicity 1)  2 Nb 2.45

---

(5)
Compound: NbAuS2
Source: Alexandria
Functional: meta-GGA SCAN
Structure: single point on PBEsol structure

Calculated values
N(E_F) = 1.2 states/eV/f.u.
total energy = -31.1564 eV per atom
uncorrected formation energy = -0.771 eV per atom
calculated volume = 216.3 Å³/cell
spin magnetization = 0.0000 μB per atom

abc: 3.2597 3.2597 23.5010
angles: 90.00 90.00 120.00
With the nearest neighbours (Å) after each atom.
Space group R-3m (No. 166, hexagonal axes)
Asymmetric unit:
Nb 0.0000 0.0000 0.0000 (multiplicity 3)  6 S 2.47
Au 0.0000 0.0000 0.5000 (multiplicity 3)  2 S 2.32
S 0.0000 0.0000 0.4013 (multiplicity 6)  1 Au 2.32, 3 Nb 2.47

---

(6)
Compound: NbAuSe2
Source: Alexandria
Functional: meta-GGA SCAN
Structure: single point on PBEsol structure

Calculated values
N(E_F) = 2.1 states/eV/f.u.
total energy = -35.5481 eV per atom
uncorrected formation energy = 0.063 eV per atom
calculated volume = 283.1 Å³/cell
spin magnetization = 0.4683 μB per atom

abc: 6.5660 6.5660 6.5660
angles: 90.00 90.00 90.00
With the nearest neighbours (Å) after each atom.
Space group Fm-3m (No. 225)
Asymmetric unit:
Nb 0.0000 0.0000 0.0000 (multiplicity 4)  8 Se 2.84
Au 0.0000 0.0000 0.5000 (multiplicity 4)  8 Se 2.84
Se 0.2500 0.2500 0.2500 (multiplicity 8)  4 Nb 2.84, 4 Au 2.84